Entry 1:
# FeCuPb2

An optimized crystal structure of FeCuPb2 (GGA-PBE, the Alexandria database).

- formation enthalpy at 0 K (meV/atom) = 511
- VASP energy (eV per atom) = -4.483
- DOS at the Fermi energy (states/eV per atom) = 1.049

Unit cell a=6.953 b=6.974 c=3.371 alpha=90.00 beta=92.88 gamma=90.00
Space group C2/m (No. 12)
One atom of each set of equivalent atoms:
1 Fe 0.000 0.000 0.000
2 Cu 0.000 0.500 0.000
3 Pb 0.250 0.250 0.500

=====

Entry 2:
# Bi2SeO6

An optimized crystal structure of Bi2SeO6 (GGA-PBE, the Alexandria database).

- VASP energy (eV per atom) = -5.427

Unit cell a=5.364 b=16.210 c=5.372 alpha=90.00 beta=90.00 gamma=90.00
Space group Cmce (No. 64)
One atom of each set of equivalent atoms:
1 Bi 0.000 0.169 0.002
2 Se 0.000 0.000 0.500
3 O 0.000 0.105 0.575
4 O 0.250 0.034 0.250
5 O 0.250 0.250 0.250

=====

Number 2 is which compound?
Bi2SeO6